(1)
{
  "formula": "UTcH",
  "functional": "PBE",
  "state": "optimized geometry",
  "total_energy_ev_per_fu": -23.97,
  "e_above_lowest_polymorph_ev_per_atom": 0.345,
  "total_magnetization_mub_per_fu": 1.3,
  "space_group": "I4mm (107)",
  "cell": [[-1.654, 1.654, 4.118], [1.654, -1.654, 4.118], [1.654, 1.654, -4.118]],
  "species": ["U", "Tc", "H"],
  "fractional_positions": [[0.000, 0.000, 0.000], [0.286, 0.286, 0.000], [0.521, 0.521, 0.000]]
}

=====

(2)
{
  "formula": "TiMn2ZnS",
  "functional": "PBE",
  "state": "optimized geometry",
  "total_energy_ev_per_fu": -28.40,
  "total_magnetization_mub_per_fu": 6.7,
  "space_group": "P4/mmm (123)",
  "formation_energy_uncorrected_ev_per_atom": 0.65,
  "cell": [[4.809, 0.000, 0.000], [0.000, 4.809, 0.000], [0.000, 0.000, 4.517]],
  "species": ["Ti", "Mn", "Mn", "Zn", "S"],
  "fractional_positions": [[0.000, 0.000, 0.000], [0.000, 0.500, 0.000], [0.500, 0.000, 0.000], [0.500, 0.500, 0.500], [0.000, 0.000, 0.500]]
}

=====

(3)
{
  "formula": "AcLa2Si4",
  "functional": "PBE",
  "state": "optimized geometry",
  "total_energy_ev_per_fu": -40.51,
  "total_magnetization_mub_per_fu": 0.0,
  "space_group": "Immm (71)",
  "formation_energy_uncorrected_ev_per_atom": -0.69,
  "cell": [[-2.017, 2.343, 9.129], [2.017, -2.343, 9.129], [2.017, 2.343, -9.129]],
  "species": ["Ac", "La", "La", "Si", "Si", "Si", "Si"],
  "fractional_positions": [[0.000, 0.000, 0.000], [0.181, 0.681, 0.500], [0.819, 0.319, 0.500], [0.356, 0.856, 0.500], [0.433, 0.433, 0.000], [0.567, 0.567, 0.000], [0.644, 0.144, 0.500]]
}